PBE Tb9TlIn2, optimized geometry; ΔE_f = -0.242 eV/atom; space-group type = P4/mmm, No. 123
1.0
4.864 0.000 0.000
0.000 4.864 0.000
0.000 0.000 14.597
Tb Tl In
9 1 2
Cartesian
0.000 0.000 0.000 Tb
0.000 0.000 4.869 Tb
0.000 0.000 9.728 Tb
0.000 2.432 2.447 Tb
0.000 2.432 7.299 Tb
0.000 2.432 12.150 Tb
2.432 0.000 2.447 Tb
2.432 0.000 7.299 Tb
2.432 0.000 12.150 Tb
2.432 2.432 0.000 Tl
2.432 2.432 4.867 In
2.432 2.432 9.731 In

***

PBE Zn2SeI, optimized geometry; ΔE_f (raw) = -237 meV per atom; space-group type = I-42d, No. 122
1.0
-3.152 3.152 6.293
3.152 -3.152 6.293
3.152 3.152 -6.293
Zn Se I
4 2 2
Cartesian
4.728 1.216 -1.573 Zn
1.216 1.576 1.573 Zn
-1.576 1.936 4.720 Zn
1.936 1.576 7.866 Zn
0.000 0.000 0.000 Se
0.000 3.152 3.147 Se
3.152 0.000 3.147 I
0.000 0.000 6.293 I